Model 1:
This record from Alexandria via LeMat-Bulk describes SrCaCr after structural relaxation. The functional is PBE-GGA.

The structure in extended XYZ format:
```
12
Lattice="7.944 0.000 0.000 0.000 7.944 0.000 0.000 0.000 7.944" Properties=species:S:1:pos:R:3 pbc="T T T"
Sr 0.000 0.000 0.000
Sr 0.000 3.972 3.972
Sr 3.972 0.000 3.972
Sr 3.972 3.972 0.000
Ca 1.986 1.986 5.958
Ca 1.986 5.958 1.986
Ca 5.958 1.986 1.986
Ca 5.958 5.958 5.958
Cr 1.986 1.986 1.986
Cr 1.986 5.958 5.958
Cr 5.958 1.986 5.958
Cr 5.958 5.958 1.986
```

Output
DOS at the Fermi energy = 0.79 states/eV/atom

***

Model 2:
This record from Alexandria via LeMat-Bulk describes SrCaCr after structural relaxation. The functional is PBE-GGA.

The structure in extended XYZ format:
```
6
Lattice="3.999 0.000 0.000 0.000 3.999 0.000 0.000 0.000 13.325" Properties=species:S:1:pos:R:3 pbc="T T T"
Sr 0.000 0.000 0.000
Sr 1.999 1.999 6.662
Ca 0.000 0.000 9.561
Ca 1.999 1.999 2.899
Cr 0.000 0.000 4.603
Cr 1.999 1.999 11.265
```

Output
DOS at the Fermi energy = 0.85 states/eV/atom

***

Model 3:
This record from Alexandria via LeMat-Bulk describes SrCaCr after structural relaxation. The functional is PBE-GGA.

The structure in extended XYZ format:
```
3
Lattice="5.645 0.000 0.000 -2.823 4.889 0.000 0.000 0.000 3.908" Properties=species:S:1:pos:R:3 pbc="T T T"
Sr 0.000 0.000 0.000
Ca 2.823 1.630 1.764
Cr 0.000 3.259 2.347
```

Output
DOS at the Fermi energy = 1.02 states/eV/atom

***

Best to worst by energy: model 2, model 3, model 1.

***

Model 1:
This record from Alexandria via LeMat-Bulk describes CaTaCr after structural relaxation. The functional is PBE-GGA.

The structure in extended XYZ format:
```
3
Lattice="4.778 0.000 0.000 -2.389 4.138 0.000 0.000 0.000 3.145" Properties=species:S:1:pos:R:3 pbc="T T T"
Ca 0.000 0.000 0.000
Ta 0.000 2.758 1.572
Cr 2.389 1.379 1.572
```

Output
DOS at the Fermi energy = 0.69 states/eV/atom

***

Model 2:
This record from Alexandria via LeMat-Bulk describes CaTaCr after structural relaxation. The functional is PBE-GGA.

The structure in extended XYZ format:
```
12
Lattice="6.474 0.000 0.000 0.000 6.474 0.000 0.000 0.000 6.474" Properties=species:S:1:pos:R:3 pbc="T T T"
Ca 0.000 0.000 0.000
Ca 0.000 3.237 3.237
Ca 3.237 0.000 3.237
Ca 3.237 3.237 0.000
Ta 0.000 0.000 3.237
Ta 0.000 3.237 0.000
Ta 3.237 0.000 0.000
Ta 3.237 3.237 3.237
Cr 1.618 1.618 4.855
Cr 1.618 4.855 1.618
Cr 4.855 1.618 1.618
Cr 4.855 4.855 4.855
```

Output
DOS at the Fermi energy = 1.33 states/eV/atom

***

Best to worst by energy: model 1, model 2.